[1]
! CdAs3Pt GGA-PBE optimized geometry; values from VASP
&SYSTEM
  ibrav = 0, nat = 5, ntyp = 3
/
ATOMIC_SPECIES
Cd 112.41 Cd.upf
As 74.92 As.upf
Pt 195.08 Pt.upf
ATOMIC_POSITIONS crystal
Cd 0.500 0.500 0.500
As 0.500 0.000 0.000
Pt 0.000 0.000 0.000
As 0.000 0.000 0.500
As 0.000 0.500 0.000
CELL_PARAMETERS angstrom
-2.973 -3.797 -1.199
3.465 -3.205 1.556
-1.962 0.095 4.565
! space-group type	Pm-3m (221)
! relative energy among the computed polymorphs	0	meV per atom
! D(E_F)	6.13	states/eV/f.u.
! theoretical density	7.201	g/cm3
! size of the total moment	0.00	μB per formula unit
! E_form	0.530	eV/atom

=====

[2]
! CdAsPt2 GGA-PBE optimized geometry; values from VASP
&SYSTEM
  ibrav = 0, nat = 4, ntyp = 3
/
ATOMIC_SPECIES
As 74.92 As.upf
Pt 195.08 Pt.upf
Cd 112.41 Cd.upf
ATOMIC_POSITIONS crystal
As 0.000 0.000 0.432
Pt 0.500 0.500 0.285
Cd 0.500 0.500 0.777
Pt 0.000 0.000 0.006
CELL_PARAMETERS angstrom
3.480 0.105 0.000
-0.105 3.480 0.000
0.000 0.000 5.941
! space-group type	P4mm (99)
! relative energy among the computed polymorphs	167	meV per atom
! D(E_F)	2.80	states/eV/f.u.
! theoretical density	13.313	g/cm3
! size of the total moment	0.00	μB per formula unit
! E_form	-0.164	eV/atom

=====

[3]
! CdAsPt2 GGA-PBE optimized geometry; values from VASP
&SYSTEM
  ibrav = 0, nat = 4, ntyp = 3
/
ATOMIC_SPECIES
Cd 112.41 Cd.upf
Pt 195.08 Pt.upf
As 74.92 As.upf
ATOMIC_POSITIONS crystal
Cd 0.251 0.251 0.223
Pt 0.761 0.761 0.719
As 0.476 0.476 0.577
Pt 0.012 0.012 0.981
CELL_PARAMETERS angstrom
5.192 0.019 -0.001
4.296 2.915 -0.001
1.152 0.356 4.744
! space-group type	Cm (8)
! relative energy among the computed polymorphs	172	meV per atom
! D(E_F)	1.66	states/eV/f.u.
! theoretical density	13.426	g/cm3
! size of the total moment	0.00	μB per formula unit
! E_form	-0.159	eV/atom

=====

[4]
! CdAs2Pt GGA-PBE optimized geometry; values from VASP
&SYSTEM
  ibrav = 0, nat = 4, ntyp = 3
/
ATOMIC_SPECIES
As 74.92 As.upf
Cd 112.41 Cd.upf
Pt 195.08 Pt.upf
ATOMIC_POSITIONS crystal
As 0.448 0.448 0.000
Cd 0.750 0.250 0.500
Pt 0.250 0.750 0.500
As 0.052 0.052 0.000
CELL_PARAMETERS angstrom
-1.944 5.776 -1.125
-5.731 1.587 -1.745
4.020 -2.489 4.007
! space-group type	Immm (71)
! D(E_F)	1.51	states/eV/f.u.
! theoretical density	9.574	g/cm3
! size of the total moment	0.00	μB per formula unit
! E_form	-0.063	eV/atom

=====

Please write out number 1 again, unchanged.
! CdAs3Pt GGA-PBE optimized geometry; values from VASP
&SYSTEM
  ibrav = 0, nat = 5, ntyp = 3
/
ATOMIC_SPECIES
Cd 112.41 Cd.upf
As 74.92 As.upf
Pt 195.08 Pt.upf
ATOMIC_POSITIONS crystal
Cd 0.500 0.500 0.500
As 0.500 0.000 0.000
Pt 0.000 0.000 0.000
As 0.000 0.000 0.500
As 0.000 0.500 0.000
CELL_PARAMETERS angstrom
-2.973 -3.797 -1.199
3.465 -3.205 1.556
-1.962 0.095 4.565
! space-group type	Pm-3m (221)
! relative energy among the computed polymorphs	0	meV per atom
! D(E_F)	6.13	states/eV/f.u.
! theoretical density	7.201	g/cm3
! size of the total moment	0.00	μB per formula unit
! E_form	0.530	eV/atom

=====

Look up the D(E_F) of the third one.
1.66 states/eV/f.u.